# Bi2W2Br

Bi2W2Br after structural relaxation (PBE-GGA, Alexandria).

Summary:
* energy relative to the elements, uncorrected: 0.949 eV per atom
* crystal system: tetragonal
* total magnetic moment: 0.00 μB per formula unit

Lattice parameters (Å, degrees): 9.566 9.566 3.015 90.00 90.00 90.00
Space group P4/mbm (No. 127)
Unique sites:
Bi1 0.173 0.327 0.000 [4 per cell]
W1 0.085 0.585 0.500 [4 per cell]
Br1 0.000 0.000 0.000 [2 per cell]